Entry 1:
# Ca2SmPd

Ca2SmPd after structural relaxation (GGA-PBE, the Alexandria database).

Structure (CIF):
```
data_Ca2SmPd
_cell_length_a 3.590
_cell_length_b 3.590
_cell_length_c 9.113
_cell_angle_alpha 90.00
_cell_angle_beta 90.00
_cell_angle_gamma 90.00
_space_group_name_H-M_alt 'P 1'
_space_group_IT_number 1
loop_
_space_group_symop_operation_xyz
'x,y,z'
loop_
_atom_site_label
_atom_site_fract_x
_atom_site_fract_y
_atom_site_fract_z
Pd1 0.500 0.500 0.000
Ca1 0.000 0.000 0.186
Ca2 0.000 0.000 0.814
Sm1 0.500 0.500 0.500
```

Summary:
Energy of formation from the pure elements ... -0.289 eV per atom
V ... 117.5 Å³ per cell
ρ ... 4.76 g/cm3
Excess energy over the best structure of this formula in the dataset ... 99 meV per atom
DOS at the Fermi energy ... 3.1 states/eV per cell

---

Entry 2:
# MoHPd

MoHPd after structural relaxation (GGA-PBE, the Alexandria database).

Structure (CIF):
```
data_MoHPd
_cell_length_a 4.053
_cell_length_b 4.068
_cell_length_c 4.938
_cell_angle_alpha 114.32
_cell_angle_beta 114.19
_cell_angle_gamma 90.00
_space_group_name_H-M_alt 'P 1'
_space_group_IT_number 1
loop_
_space_group_symop_operation_xyz
'x,y,z'
loop_
_atom_site_label
_atom_site_fract_x
_atom_site_fract_y
_atom_site_fract_z
H1 0.358 0.107 0.214
H2 0.642 0.893 0.786
Mo1 0.883 0.132 0.265
Mo2 0.117 0.868 0.735
Pd1 0.627 0.377 0.755
Pd2 0.373 0.623 0.245
```

Summary:
V ... 66.3 Å³ per cell
ρ ... 10.19 g/cm3
DOS at the Fermi energy ... 2.8 states/eV per cell

---

Entry 3:
# CaLa2ScN

CaLa2ScN after structural relaxation (GGA-PBE, the Alexandria database).

Structure (CIF):
```
data_CaLa2ScN
_cell_length_a 5.543
_cell_length_b 5.543
_cell_length_c 4.344
_cell_angle_alpha 90.00
_cell_angle_beta 90.00
_cell_angle_gamma 90.00
_space_group_name_H-M_alt 'P 1'
_space_group_IT_number 1
loop_
_space_group_symop_operation_xyz
'x,y,z'
loop_
_atom_site_label
_atom_site_fract_x
_atom_site_fract_y
_atom_site_fract_z
Ca1 0.500 0.500 0.500
La1 0.500 0.000 0.000
La2 0.000 0.500 0.000
N1 0.000 0.000 0.000
Sc1 0.000 0.000 0.500
```

Summary:
V ... 133.5 Å³ per cell
ρ ... 4.69 g/cm3
DOS at the Fermi energy ... 6.5 states/eV per cell
Formation energy from raw total energies ... -0.491 eV/atom

---

Entry 4:
# RbFeIr3

RbFeIr3 after structural relaxation (GGA-PBE, the Alexandria database).

Structure (CIF):
```
data_RbFeIr3
_cell_length_a 4.637
_cell_length_b 4.637
_cell_length_c 4.637
_cell_angle_alpha 90.00
_cell_angle_beta 90.00
_cell_angle_gamma 90.00
_space_group_name_H-M_alt 'P 1'
_space_group_IT_number 1
loop_
_space_group_symop_operation_xyz
'x,y,z'
loop_
_atom_site_label
_atom_site_fract_x
_atom_site_fract_y
_atom_site_fract_z
Ir1 0.000 0.000 0.500
Ir2 0.500 0.000 0.000
Ir3 0.000 0.500 0.000
Fe1 0.000 0.000 0.000
Rb1 0.500 0.500 0.500
```

Summary:
Energy of formation from the pure elements ... 1.417 eV per atom
V ... 99.7 Å³ per cell
ρ ... 11.96 g/cm3
Excess energy over the best structure of this formula in the dataset ... 0 meV per atom
DOS at the Fermi energy ... 8.7 states/eV per cell

---

Entry 5:
# KScGe2Rh

KScGe2Rh after structural relaxation (GGA-PBE, the Alexandria database).

Structure (CIF):
```
data_KScGe2Rh
_cell_length_a 5.289
_cell_length_b 4.768
_cell_length_c 5.289
_cell_angle_alpha 90.00
_cell_angle_beta 90.00
_cell_angle_gamma 90.00
_space_group_name_H-M_alt 'P 1'
_space_group_IT_number 1
loop_
_space_group_symop_operation_xyz
'x,y,z'
loop_
_atom_site_label
_atom_site_fract_x
_atom_site_fract_y
_atom_site_fract_z
Rh1 0.000 0.500 0.000
Sc1 0.000 0.000 0.000
K1 0.500 0.500 0.500
Ge1 0.000 0.000 0.500
Ge2 0.500 0.000 0.000
```

Summary:
Energy of formation from the pure elements ... 0.318 eV per atom
V ... 133.4 Å³ per cell
ρ ... 4.14 g/cm3
DOS at the Fermi energy ... 2.8 states/eV per cell

---

Listing uncorrected energy for the structures above in their given order: -3.77; -6.42; -5.79; -5.79; -4.49 eV/atom.